DFT (PBE-GGA) results for crystalline AlSiPN4 at its relaxed geometry.

Unit cell a=5.111 b=5.111 c=4.793 alpha=101.24 beta=101.24 gamma=34.25
Element x y z (fractional)
1 Al 0.000 0.000 0.000
2 Si 0.368 0.368 0.515
3 P 0.631 0.631 0.489
4 N 0.175 0.175 0.334
5 N 0.460 0.460 0.240
6 N 0.550 0.550 0.761
7 N 0.819 0.819 0.669

Polymorph energy (0 for the lowest one) (eV per atom): 0.080
Calculated total energy (eV/atom): -7.540
ΔE_f (raw) (eV per atom): -0.7009
SG: Cm, No. 8